# 1
Material: BaBN2
Method: DFT, PBE
State: relaxed

## Properties
volume	96.9	Å³/cell
energy	-6.660	eV/atom
magnetization	0.000	μB per formula unit
raw formation energy	-347	meV/atom

a b c (Å): 5.3321 5.3321 5.3321
angles (deg): 125.49 125.49 80.72
Atoms (fractional coordinates):
Ba: 0.3750 0.6250 0.7500
Ba: 0.6250 0.3750 0.2500
B: 0.1250 0.8750 0.2500
B: 0.8750 0.1250 0.7500
N: 0.0000 0.0000 0.0000
N: 0.0000 0.0000 0.5000
N: 0.0000 0.5000 0.0000
N: 0.5000 0.0000 0.5000



# 2
Material: PmZn4Pd3
Method: DFT, PBE
State: relaxed

## Properties
energy relative to the elements	-436	meV/atom
volume	272.2	Å³/cell
energy	-3.614	eV/atom
magnetization	0.000	μB per formula unit

a b c (Å): 9.0766 6.1072 4.9096
angles (deg): 90.00 90.00 90.00
Atoms (fractional coordinates):
Pm: 0.0000 0.0000 0.0000
Pm: 0.5000 0.0000 0.0000
Zn: 0.0000 0.2880 0.5000
Zn: 0.0000 0.7120 0.5000
Zn: 0.2500 0.2962 0.1440
Zn: 0.2500 0.7038 0.1440
Zn: 0.5000 0.2880 0.5000
Zn: 0.5000 0.7120 0.5000
Zn: 0.7500 0.2962 0.8560
Zn: 0.7500 0.7038 0.8560
Pd: 0.0000 0.5000 0.0000
Pd: 0.2500 0.0000 0.5106
Pd: 0.2500 0.5000 0.6586
Pd: 0.5000 0.5000 0.0000
Pd: 0.7500 0.0000 0.4894
Pd: 0.7500 0.5000 0.3414



# 3
Material: TiZnCo2H
Method: DFT, PBE
State: relaxed

## Properties
volume	51.8	Å³/cell
energy	-5.540	eV/atom
magnetization	0.000	μB per formula unit

a b c (Å): 3.7694 3.7694 3.6446
angles (deg): 90.00 90.00 90.00
Atoms (fractional coordinates):
Ti: 0.0000 0.0000 0.0000
Zn: 0.5000 0.5000 0.0000
Co: 0.0000 0.5000 0.5000
Co: 0.5000 0.0000 0.5000
H: 0.0000 0.0000 0.5000



# 4
Material: CaCo2Ag
Method: DFT, PBE
State: relaxed

## Properties
energy relative to the elements	481	meV/atom
volume	72.5	Å³/cell
energy	-4.286	eV/atom
magnetization	3.034	μB per formula unit

a b c (Å): 3.4088 3.4088 6.2359
angles (deg): 90.00 90.00 90.00
Atoms (fractional coordinates):
Ca: 0.0000 0.0000 0.0000
Co: 0.5000 0.5000 0.3178
Co: 0.5000 0.5000 0.6822
Ag: 0.0000 0.0000 0.5000



# 5
Material: Tl3Ag3BiBr8
Method: DFT, PBE
State: relaxed

## Properties
volume	499.0	Å³/cell
energy	-2.722	eV/atom
magnetization	1.007	μB per formula unit
raw formation energy	-528	meV/atom

a b c (Å): 8.9105 8.9105 9.1081
angles (deg): 119.34 119.34 56.06
Atoms (fractional coordinates):
Tl: 0.0000 0.0000 0.0000
Tl: 0.0000 0.5000 0.5000
Tl: 0.5000 0.0000 0.5000
Ag: 0.0000 0.5000 0.0000
Ag: 0.5000 0.0000 0.0000
Ag: 0.5000 0.5000 0.5000
Bi: 0.0000 0.0000 0.5000
Br: 0.2460 0.7365 0.2735
Br: 0.2574 0.2574 0.2308
Br: 0.2635 0.7540 0.7265
Br: 0.2710 0.2710 0.8185
Br: 0.7290 0.7290 0.1815
Br: 0.7365 0.2460 0.2735
Br: 0.7426 0.7426 0.7692
Br: 0.7540 0.2635 0.7265



# 6
Material: Ta2CdOs
Method: DFT, PBE
State: relaxed

## Properties
energy relative to the elements	183	meV/atom
volume	71.4	Å³/cell
energy	-8.780	eV/atom
magnetization	0.000	μB per formula unit

a b c (Å): 2.8568 2.8568 9.3897
angles (deg): 90.00 90.00 111.28
Atoms (fractional coordinates):
Ta: 0.0000 0.0000 0.0000
Ta: 0.5000 0.5000 0.2483
Cd: 0.5000 0.5000 0.7274
Os: 0.0000 0.0000 0.4685



# 7
Material: Tm5Th3
Method: DFT, PBE
State: relaxed

## Properties
energy relative to the elements	25	meV/atom
volume	248.8	Å³/cell
energy	-5.552	eV/atom
magnetization	0.000	μB per formula unit

a b c (Å): 3.5414 3.5414 19.8381
angles (deg): 90.00 90.00 90.00
Atoms (fractional coordinates):
Tm: 0.0000 0.0000 0.0000
Tm: 0.0000 0.0000 0.2483
Tm: 0.0000 0.0000 0.7517
Tm: 0.5000 0.5000 0.3782
Tm: 0.5000 0.5000 0.6218
Th: 0.0000 0.0000 0.5000
Th: 0.5000 0.5000 0.1259
Th: 0.5000 0.5000 0.8741



# 8
Material: KDyMg2Br8
Method: DFT, PBE
State: relaxed

## Properties
volume	381.6	Å³/cell
energy	-3.426	eV/atom
magnetization	0.000	μB per formula unit
raw formation energy	-1570	meV/atom

a b c (Å): 6.5450 6.8336 8.5353
angles (deg): 89.82 89.77 88.64
Atoms (fractional coordinates):
K: 0.0000 0.0000 0.0000
Dy: 0.0000 0.0000 0.5000
Mg: 0.4992 0.4991 0.2393
Mg: 0.5008 0.5009 0.7607
Br: 0.2508 0.8173 0.7234
Br: 0.2521 0.8182 0.2763
Br: 0.2712 0.3312 0.4995
Br: 0.2847 0.3621 0.0001
Br: 0.7153 0.6379 0.9999
Br: 0.7288 0.6688 0.5005
Br: 0.7479 0.1818 0.7237
Br: 0.7492 0.1827 0.2766



# 9
Material: Er2HfGa9
Method: DFT, PBE
State: relaxed

## Properties
energy relative to the elements	-477	meV/atom
volume	222.5	Å³/cell
energy	-4.337	eV/atom
magnetization	0.000	μB per formula unit

a b c (Å): 4.1992 4.1992 12.6173
angles (deg): 90.00 90.00 90.00
Atoms (fractional coordinates):
Er: 0.0000 0.0000 0.1725
Er: 0.0000 0.0000 0.8275
Hf: 0.0000 0.0000 0.5000
Ga: 0.0000 0.5000 0.0000
Ga: 0.0000 0.5000 0.3402
Ga: 0.0000 0.5000 0.6598
Ga: 0.5000 0.0000 0.0000
Ga: 0.5000 0.0000 0.3402
Ga: 0.5000 0.0000 0.6598
Ga: 0.5000 0.5000 0.1668
Ga: 0.5000 0.5000 0.5000
Ga: 0.5000 0.5000 0.8332



# 10
Material: DyPuZnGe
Method: DFT, PBE
State: relaxed

## Properties
energy relative to the elements	-379	meV/atom
volume	90.4	Å³/cell
energy	-6.585	eV/atom
magnetization	6.145	μB per formula unit

a b c (Å): 5.0376 5.0376 5.0376
angles (deg): 60.00 60.00 60.00
Atoms (fractional coordinates):
Dy: 0.0000 0.0000 0.0000
Pu: 0.5000 0.5000 0.5000
Zn: 0.2500 0.2500 0.2500
Ge: 0.7500 0.7500 0.7500



# 11
Material: VGeRu2
Method: DFT, PBE
State: relaxed

## Properties
energy relative to the elements	-79	meV/atom
volume	61.7	Å³/cell
energy	-8.151	eV/atom
magnetization	0.000	μB per formula unit

a b c (Å): 4.9145 4.9145 4.9145
angles (deg): 48.83 48.83 48.83
Atoms (fractional coordinates):
V: 0.0000 0.0000 0.0000
Ge: 0.8059 0.8059 0.8059
Ru: 0.3894 0.3894 0.3894
Ru: 0.5877 0.5877 0.5877



# 12
Material: Er2Se5
Method: DFT, PBE
State: relaxed

## Properties
volume	331.8	Å³/cell
energy	-5.122	eV/atom
magnetization	0.000	μB per formula unit
raw formation energy	-1329	meV/atom

a b c (Å): 21.2012 21.2012 3.9645
angles (deg): 90.00 90.00 169.27
Atoms (fractional coordinates):
Er: 0.1037 0.8963 0.7500
Er: 0.3060 0.6940 0.7500
Er: 0.6940 0.3060 0.2500
Er: 0.8963 0.1037 0.2500
Se: 0.0496 0.9504 0.2500
Se: 0.1757 0.8243 0.7500
Se: 0.2500 0.7500 0.2500
Se: 0.3752 0.6248 0.7500
Se: 0.4504 0.5496 0.2500
Se: 0.5496 0.4504 0.7500
Se: 0.6248 0.3752 0.2500
Se: 0.7500 0.2500 0.7500
Se: 0.8243 0.1757 0.2500
Se: 0.9504 0.0496 0.7500



# 13
Material: SrCd2Ru
Method: DFT, PBE
State: relaxed

## Properties
energy relative to the elements	123	meV/atom
volume	105.9	Å³/cell
energy	-3.074	eV/atom
magnetization	0.000	μB per formula unit

a b c (Å): 4.7531 4.7531 6.0658
angles (deg): 112.96 112.96 59.95
Atoms (fractional coordinates):
Sr: 0.0000 0.0000 0.0000
Cd: 0.5278 0.5278 0.5826
Cd: 0.8012 0.8012 0.4020
Ru: 0.1891 0.1891 0.5660



# 14
Material: BiTeAu2S
Method: DFT, PBE
State: relaxed

## Properties
volume	151.6	Å³/cell
energy	-2.815	eV/atom
magnetization	0.000	μB per formula unit
raw formation energy	726	meV/atom

a b c (Å): 5.3359 5.3359 5.3262
angles (deg): 90.00 90.00 90.00
Atoms (fractional coordinates):
Bi: 0.0000 0.0000 0.0000
Te: 0.5000 0.5000 0.5000
Au: 0.0000 0.5000 0.0000
Au: 0.5000 0.0000 0.0000
S: 0.0000 0.0000 0.5000



# 15
Material: Rb5As2I2
Method: DFT, PBE
State: relaxed

## Properties
volume	790.3	Å³/cell
energy	-2.767	eV/atom
magnetization	1.054	μB per formula unit
raw formation energy	-852	meV/atom

a b c (Å): 10.4680 10.4680 9.1678
angles (deg): 90.00 90.00 51.88
Atoms (fractional coordinates):
Rb: 0.0000 0.0000 0.0000
Rb: 0.0451 0.6955 0.6742
Rb: 0.1955 0.5451 0.1742
Rb: 0.3045 0.9549 0.6742
Rb: 0.4549 0.8045 0.1742
Rb: 0.5000 0.5000 0.5000
Rb: 0.5451 0.1955 0.8258
Rb: 0.6955 0.0451 0.3258
Rb: 0.8045 0.4549 0.8258
Rb: 0.9549 0.3045 0.3258
As: 0.0951 0.9049 0.4049
As: 0.4049 0.5951 0.9049
As: 0.5951 0.4049 0.0951
As: 0.9049 0.0951 0.5951
I: 0.2066 0.2066 0.0000
I: 0.2934 0.2934 0.5000
I: 0.7066 0.7066 0.5000
I: 0.7934 0.7934 0.0000



# 16
Material: YH2Pd
Method: DFT, PBE
State: relaxed

## Properties
volume	54.5	Å³/cell
energy	-5.136	eV/atom
magnetization	0.000	μB per formula unit

a b c (Å): 4.6417 4.6417 4.6417
angles (deg): 50.29 50.29 50.29
Atoms (fractional coordinates):
Y: 0.0000 0.0000 0.0000
H: 0.3603 0.3603 0.3603
H: 0.6397 0.6397 0.6397
Pd: 0.5000 0.5000 0.5000



# 17
Material: KBeSnO4
Method: DFT, PBE
State: relaxed

## Properties
volume	196.5	Å³/cell
energy	-5.727	eV/atom
magnetization	1.015	μB per formula unit
raw formation energy	-1632	meV/atom

a b c (Å): 5.2422 5.4858 7.2140
angles (deg): 90.00 108.70 90.00
Atoms (fractional coordinates):
K: 0.2225 0.2500 0.4459
K: 0.7775 0.7500 0.5541
Be: 0.2425 0.7500 0.1522
Be: 0.7575 0.2500 0.8478
Sn: 0.3091 0.2500 0.9641
Sn: 0.6909 0.7500 0.0359
O: 0.0329 0.7500 0.9292
O: 0.0354 0.7500 0.2788
O: 0.4589 0.5237 0.1721
O: 0.4589 0.9763 0.1721
O: 0.5411 0.0237 0.8279
O: 0.5411 0.4763 0.8279
O: 0.9646 0.2500 0.7212
O: 0.9671 0.2500 0.0708



# 18
Material: Th2Cu5Ni4
Method: DFT, PBE
State: relaxed

## Properties
energy relative to the elements	-237	meV/atom
volume	172.0	Å³/cell
energy	-5.550	eV/atom
magnetization	0.000	μB per formula unit

a b c (Å): 9.1772 8.4760 4.9554
angles (deg): 81.66 66.04 32.29
Atoms (fractional coordinates):
Th: 0.1363 0.1363 0.8637
Th: 0.8637 0.8637 0.1363
Cu: 0.0000 0.0000 0.5000
Cu: 0.2500 0.2500 0.2500
Cu: 0.5000 0.5000 0.0000
Cu: 0.5000 0.5000 0.5000
Cu: 0.7500 0.7500 0.7500
Ni: 0.2119 0.5345 0.4655
Ni: 0.4655 0.7881 0.2119
Ni: 0.5345 0.2119 0.7881
Ni: 0.7881 0.4655 0.5345



# 19
Material: Pr3Sm2Y4
Method: DFT, PBE
State: relaxed

## Properties
energy relative to the elements	206	meV/atom
volume	317.3	Å³/cell
energy	-5.309	eV/atom
magnetization	0.000	μB per formula unit

a b c (Å): 6.0943 6.0943 11.2822
angles (deg): 99.79 99.79 50.43
Atoms (fractional coordinates):
Pr: 0.0000 0.0000 0.0000
Pr: 0.4415 0.4415 0.2486
Pr: 0.5585 0.5585 0.7514
Sm: 0.1674 0.1674 0.5766
Sm: 0.8326 0.8326 0.4234
Y: 0.1408 0.1408 0.2795
Y: 0.2797 0.2797 0.8975
Y: 0.7203 0.7203 0.1025
Y: 0.8592 0.8592 0.7205



# 20
Material: ZnIrRu
Method: DFT, PBE
State: relaxed

## Properties
energy relative to the elements	305	meV/atom
volume	50.4	Å³/cell
energy	-6.165	eV/atom
magnetization	0.000	μB per formula unit

a b c (Å): 4.1475 4.1475 4.1475
angles (deg): 60.00 60.00 60.00
Atoms (fractional coordinates):
Zn: 0.0000 0.0000 0.0000
Ir: 0.7500 0.7500 0.7500
Ru: 0.5000 0.5000 0.5000



# 21
Material: Na12AgPb6
Method: DFT, PBE
State: relaxed

## Properties
energy relative to the elements	-115	meV/atom
volume	574.0	Å³/cell
energy	-2.269	eV/atom
magnetization	0.000	μB per formula unit

a b c (Å): 8.3132 8.3132 8.3132
angles (deg): 88.61 88.61 88.61
Atoms (fractional coordinates):
Na: 0.0212 0.3136 0.9212
Na: 0.0788 0.9788 0.6864
Na: 0.1259 0.3603 0.4633
Na: 0.3136 0.9212 0.0212
Na: 0.3603 0.4633 0.1259
Na: 0.4633 0.1259 0.3603
Na: 0.5367 0.8741 0.6397
Na: 0.6397 0.5367 0.8741
Na: 0.6864 0.0788 0.9788
Na: 0.8741 0.6397 0.5367
Na: 0.9212 0.0212 0.3136
Na: 0.9788 0.6864 0.0788
Ag: 0.5000 0.5000 0.5000
Pb: 0.2418 0.6189 0.7584
Pb: 0.2416 0.7582 0.3811
Pb: 0.3811 0.2416 0.7582
Pb: 0.6189 0.7584 0.2418
Pb: 0.7584 0.2418 0.6189
Pb: 0.7582 0.3811 0.2416



# 22
Material: ErSc8Tl2
Method: DFT, PBE
State: relaxed

## Properties
energy relative to the elements	25	meV/atom
volume	278.5	Å³/cell
energy	-5.425	eV/atom
magnetization	0.000	μB per formula unit

a b c (Å): 8.2852 8.2852 5.2980
angles (deg): 103.47 103.47 120.04
Atoms (fractional coordinates):
Er: 0.0000 0.0000 0.0000
Sc: 0.0967 0.3233 0.6369
Sc: 0.2140 0.7860 0.0000
Sc: 0.3233 0.0967 0.6369
Sc: 0.4183 0.4183 0.2061
Sc: 0.5817 0.5817 0.7939
Sc: 0.6767 0.9033 0.3631
Sc: 0.7860 0.2140 0.0000
Sc: 0.9033 0.6767 0.3631
Tl: 0.3072 0.6928 0.5000
Tl: 0.6928 0.3072 0.5000



# 23
Material: TaNbCoOs
Method: DFT, PBE
State: relaxed

## Properties
energy relative to the elements	-150	meV/atom
volume	62.2	Å³/cell
energy	-10.215	eV/atom
magnetization	1.496	μB per formula unit

a b c (Å): 4.4475 4.4475 4.4475
angles (deg): 60.00 60.00 60.00
Atoms (fractional coordinates):
Ta: 0.0000 0.0000 0.0000
Nb: 0.5000 0.5000 0.5000
Co: 0.2500 0.2500 0.2500
Os: 0.7500 0.7500 0.7500